A plane-wave DFT calculation with PBE was carried out for a geometry-optimized CsBeAsF6 structure.

```
data_CsBeAsF6
_chemical_formula_sum 'Cs1 Be1 As1 F6'
_symmetry_space_group_name_H-M 'P 1'
_symmetry_Int_Tables_number 1
_cell_length_a 5.232
_cell_length_b 5.233
_cell_length_c 6.545
_cell_angle_alpha 89.99
_cell_angle_beta 89.99
_cell_angle_gamma 59.99
loop_
_symmetry_equiv_pos_as_xyz
'x,y,z'
loop_
_atom_site_label
_atom_site_type_symbol
_atom_site_fract_x
_atom_site_fract_y
_atom_site_fract_z
As1 As 0.333 0.333 0.500
F1 F 0.961 0.636 0.660
F2 F 0.404 0.961 0.660
F3 F 0.404 0.636 0.340
Be1 Be 0.666 0.667 0.500
Cs1 Cs 0.000 0.000 0.000
F4 F 0.961 0.404 0.340
F5 F 0.636 0.960 0.340
F6 F 0.636 0.404 0.660
```

Results
Formation energy (no corrections) = -22.666 eV per formula unit
Total magnetization = 0.00 μB per cell
Calculated density = 3.54 g/cm3
DOS at the Fermi energy = 0.000 states/eV/f.u.